No. 1
The following is a DFT calculation (PBE) of HfGa2Ge2 after structural relaxation.

Calculated values
formation energy = 12 meV per atom
N(E_F) = 0.5120 states/eV/atom
magnetic moment = 0.000 μB/f.u.
energy above the most stable polymorph in this dataset = 0.0518 eV per atom

a b c (Å): 3.6714 3.6714 14.5744
angles (deg): 90.00 90.00 90.00
Space group I4/mmm (No. 139)
Inequivalent atoms, fractional coordinates:
Hf  0.0000  0.0000  0.0000 (multiplicity 2)
Ga  0.0000  0.5000  0.2500 (multiplicity 4)
Ge  0.0000  0.0000  0.4109 (multiplicity 4)



No. 2
The following is a DFT calculation (PBE) of Hf2GaGe2 after structural relaxation.

Calculated values
formation energy = -330 meV per atom
N(E_F) = 0.4669 states/eV/atom
magnetic moment = 0.000 μB/f.u.
energy above the most stable polymorph in this dataset = 0.0000 eV per atom

a b c (Å): 7.1486 7.1486 3.8486
angles (deg): 90.00 90.00 90.00
Space group P4/mbm (No. 127)
Inequivalent atoms, fractional coordinates:
Hf  0.1728  0.3272  0.0000 (multiplicity 4)
Ga  0.0000  0.0000  0.0000 (multiplicity 2)
Ge  0.1296  0.6296  0.5000 (multiplicity 4)



No. 3
The following is a DFT calculation (PBE) of Hf3Ga2Ge after structural relaxation.

Calculated values
formation energy = -310 meV per atom
N(E_F) = 0.5325 states/eV/atom
magnetic moment = 0.000 μB/f.u.
energy above the most stable polymorph in this dataset = 0.1254 eV per atom

a b c (Å): 12.8879 5.4340 7.1848
angles (deg): 90.00 106.20 90.00
Space group C2/c (No. 15)
Inequivalent atoms, fractional coordinates:
Hf  0.0000  0.0005  0.2500 (multiplicity 4)
Hf  0.1603  0.5000  0.0804 (multiplicity 8)
Ga  0.1695  0.0000  0.0847 (multiplicity 8)
Ge  0.0000  0.5005  0.2500 (multiplicity 4)



No. 4
The following is a DFT calculation (PBE) of Hf3GaGe after structural relaxation.

Calculated values
formation energy = -310 meV per atom
N(E_F) = 0.8580 states/eV/atom
magnetic moment = 0.000 μB/f.u.
energy above the most stable polymorph in this dataset = 0.0000 eV per atom

a b c (Å): 8.4756 5.3672 10.2569
angles (deg): 90.00 120.23 90.00
Space group P2_1/c (No. 14)
Inequivalent atoms, fractional coordinates:
Hf  0.0031  0.0814  0.3470 (multiplicity 4)
Hf  0.3361  0.1259  0.9537 (multiplicity 4)
Hf  0.3972  0.6187  0.1672 (multiplicity 4)
Ga  0.1945  0.1645  0.1477 (multiplicity 4)
Ge  0.3179  0.6424  0.8691 (multiplicity 4)